(1)
A plane-wave DFT calculation with PBE was carried out for a relaxed structure of RbZrTl.

Values from the calculation:
Formation energy from the elements, meV per atom: 298
Space-group type: P1

Cell and atoms, written as POSCAR:
```
RbZrTl
1.0
-0.2233 -9.6598 1.9076
6.7591 2.1433 0.1651
-1.2535 1.1578 2.8525
Tl Rb Zr
2 2 2
Cartesian
3.5566 -6.3497 4.6556 Tl
2.9563 -0.0257 1.8012 Tl
3.4025 -3.8206 1.6311 Rb
0.9461 -6.9999 1.8324 Rb
-0.1100 -0.2530 2.4806 Zr
5.9806 -0.7111 1.4723 Zr
```

(2)
A plane-wave DFT calculation with PBE was carried out for a relaxed structure of LiCdTc2.

Values from the calculation:
Formation energy from the elements, meV per atom: 337
Space-group type: P2/m

Cell and atoms, written as POSCAR:
```
LiCdTc2
1.0
4.7727 0.0000 0.0000
0.0000 2.6618 -0.0605
0.0000 1.0195 4.9307
Cd Li Tc
1 1 2
Cartesian
2.3863 0.9203 1.2176 Cd
2.3863 2.7610 3.6527 Li
0.0000 1.1001 4.8390 Tc
0.0000 1.7600 2.5269 Tc
```

(3)
A plane-wave DFT calculation with PBE was carried out for a relaxed structure of TaZn2Co.

Values from the calculation:
Formation energy from the elements, meV per atom: 141
Space-group type: I4/mmm

Cell and atoms, written as POSCAR:
```
TaZn2Co
1.0
4.8806 0.0320 0.0000
1.9985 4.4528 0.0000
-3.4396 -2.2424 2.6386
Co Ta Zn
1 1 2
Cartesian
0.9993 2.2264 1.3193 Co
2.4403 0.0160 1.3193 Ta
0.0000 0.0000 0.0000 Zn
3.4396 2.2424 0.0000 Zn
```

(4)
A plane-wave DFT calculation with PBE was carried out for a relaxed structure of Na2In12Pt7.

Values from the calculation:
Formation energy from the elements, meV per atom: -410
Space-group type: P-6

Cell and atoms, written as POSCAR:
```
Na2In12Pt7
1.0
4.3736 0.0000 0.0000
0.0000 9.5674 -5.5237
0.0000 0.0000 11.0475
Na In Pt
2 12 7
Cartesian
2.1868 0.0000 0.0000 Na
0.0000 6.3783 0.0000 Na
2.1868 8.6589 1.6539 In
2.1868 6.6703 -2.8020 In
2.1868 3.8056 1.1481 In
2.1868 2.2938 7.3994 In
2.1868 5.2612 5.3613 In
2.1868 2.0124 3.8105 In
0.0000 0.4184 5.4694 In
0.0000 4.5274 7.9504 In
0.0000 4.6216 3.1514 In
0.0000 7.7117 3.8003 In
0.0000 9.0027 -3.0549 In
0.0000 2.4204 -0.7454 In
0.0000 3.1891 5.5237 Pt
0.0000 0.6531 8.1981 Pt
0.0000 6.7732 6.3828 Pt
0.0000 2.1410 1.9903 Pt
2.1868 6.2048 2.7237 Pt
2.1868 8.8238 -1.2116 Pt
2.1868 4.1062 -1.5121 Pt
```

(5)
A plane-wave DFT calculation with PBE was carried out for a relaxed structure of NdSn2Sb.

Values from the calculation:
Space-group type: R-3m
Energy relative to the elements, uncorrected, eV/f.u.: 0.59

Cell and atoms, written as POSCAR:
```
NdSn2Sb
1.0
3.7989 0.0000 0.0000
1.8994 3.2899 0.0000
1.8994 1.0966 10.5477
Sb Nd Sn
1 1 2
Cartesian
3.7989 2.1933 5.2739 Sb
0.0000 0.0000 0.0000 Nd
1.8994 1.0966 7.3713 Sn
5.6983 3.2899 3.1765 Sn
```

(6)
A plane-wave DFT calculation with PBE was carried out for a relaxed structure of CaMnFeGe2.

Values from the calculation:
Formation energy from the elements, meV per atom: -337
Space-group type: I-4m2

Cell and atoms, written as POSCAR:
```
CaMnFeGe2
1.0
6.1538 -0.0162 0.0000
3.6603 4.9469 0.0000
-4.9071 -2.4654 2.7771
Ca Mn Ge Fe
1 1 2 1
Cartesian
0.0000 0.0000 0.0000 Ca
1.8302 2.4735 1.3886 Mn
6.1008 3.0651 0.0000 Ge
3.7134 1.8657 0.0000 Ge
3.0769 -0.0081 1.3886 Fe
```

(7)
A plane-wave DFT calculation with PBE was carried out for a relaxed structure of YEr4In.

Values from the calculation:
Formation energy from the elements, meV per atom: -148
Space-group type: P4/mmm

Cell and atoms, written as POSCAR:
```
YEr4In
1.0
3.5408 0.0000 0.0000
0.0000 3.5408 0.0000
0.0000 0.0000 14.1430
Y Er In
1 4 1
Cartesian
0.0000 0.0000 0.0000 Y
1.7704 1.7704 2.5097 Er
0.0000 0.0000 9.1674 Er
0.0000 0.0000 4.9756 Er
1.7704 1.7704 11.6332 Er
1.7704 1.7704 7.0715 In
```

(8)
A plane-wave DFT calculation with PBE was carried out for a relaxed structure of LiGa2SnRu.

Values from the calculation:
Formation energy from the elements, meV per atom: 512
Space-group type: P4/mmm

Cell and atoms, written as POSCAR:
```
LiGa2SnRu
1.0
4.4439 0.0000 0.0000
0.0000 4.4249 0.0000
0.0000 0.0000 4.4439
Ru Sn Ga Li
1 1 2 1
Cartesian
0.0000 2.2124 0.0000 Ru
2.2219 2.2124 2.2219 Sn
0.0000 0.0000 2.2219 Ga
2.2219 0.0000 0.0000 Ga
0.0000 0.0000 0.0000 Li
```

(9)
A plane-wave DFT calculation with PBE was carried out for a relaxed structure of Al3NO3.

Values from the calculation:
Space-group type: R-3m
Energy relative to the elements, uncorrected, eV/f.u.: -17.53

Cell and atoms, written as POSCAR:
```
Al3NO3
1.0
-2.7841 3.7002 3.3644
-4.6494 -1.6334 2.9116
0.1660 -0.5416 5.6957
Al N O
6 2 6
Cartesian
-0.9678 0.2031 1.5942 Al
-6.2997 1.3222 10.3775 Al
-3.6337 0.7626 5.9858 Al
-1.3091 1.5793 4.5300 Al
-2.2417 -1.0875 4.3037 Al
-3.7167 1.0334 3.1380 Al
-5.3562 1.1241 8.8232 N
-1.9113 0.4011 3.1485 N
-3.1753 1.9049 7.4840 O
-4.0607 -0.6267 7.2690 O
-5.4609 1.3866 6.1625 O
-4.0922 -0.3796 4.4877 O
-3.2068 2.1520 4.7026 O
-1.8066 0.1386 5.8092 O
```

(10)
A plane-wave DFT calculation with PBE was carried out for a relaxed structure of Be5Co6P.

Values from the calculation:
Formation energy from the elements, meV per atom: -450
Space-group type: Immm

Cell and atoms, written as POSCAR:
```
Be5Co6P
1.0
-1.6027 2.1734 -2.5228
0.3670 -5.8431 -2.5586
-3.1583 0.8908 5.4822
Be Co P
5 6 1
Cartesian
-3.3501 0.8129 2.8302 Be
-1.9855 -1.3495 2.8072 Be
-2.1971 -1.3895 0.2004 Be
-0.8058 -3.6029 0.1164 Be
-1.0440 -3.5919 -2.4295 Be
-1.6787 0.4217 1.4300 Co
-3.8819 -0.9724 1.6315 Co
-1.8924 0.3969 -1.1621 Co
-2.5018 -3.1759 1.5629 Co
-0.5122 -1.8066 -1.2307 Co
-2.7154 -3.2006 -1.0292 Co
0.0000 0.0000 0.0000 P
```

(11)
A plane-wave DFT calculation with PBE was carried out for a relaxed structure of PrGdIn.

Values from the calculation:
Formation energy from the elements, meV per atom: -249
Space-group type: P3m1

Cell and atoms, written as POSCAR:
```
PrGdIn
1.0
3.7092 0.0000 0.0000
0.0000 5.3227 0.0000
0.0000 -2.6614 4.6096
Pr Gd In
1 1 1
Cartesian
3.6016 0.0000 0.0000 Pr
1.4652 0.0000 3.0731 Gd
2.3516 2.6614 1.5365 In
```

(12)
A plane-wave DFT calculation with PBE was carried out for a relaxed structure of Sr4CuMo.

Values from the calculation:
Formation energy from the elements, meV per atom: 1262
Space-group type: F-43m

Cell and atoms, written as POSCAR:
```
Sr4CuMo
1.0
5.6383 -4.0070 1.1637
0.3723 -6.4253 -2.7887
4.5106 -1.3058 -5.2106
Sr Cu Mo
4 1 1
Cartesian
6.7685 -6.4067 -1.9777 Sr
6.2032 -5.0525 -5.1733 Sr
4.1286 -7.6190 -3.9592 Sr
3.9420 -4.3979 -2.5611 Sr
7.8908 -8.8036 -5.1267 Cu
0.0000 0.0000 0.0000 Mo
```

(13)
A plane-wave DFT calculation with PBE was carried out for a relaxed structure of Cr2Cu2Au.

Values from the calculation:
Formation energy from the elements, meV per atom: 487
Space-group type: I4/mmm

Cell and atoms, written as POSCAR:
```
Cr2Cu2Au
1.0
-0.6960 0.9236 -2.9489
-3.0901 -0.2017 0.6662
-1.8788 7.1083 0.9685
Cr Au Cu
2 1 2
Cartesian
-2.2339 4.1964 -1.5609 Cr
-3.4310 3.6337 0.2466 Cr
0.0000 0.0000 0.0000 Au
-1.8901 1.7633 -0.7029 Cu
-3.7748 6.0669 -0.6114 Cu
```

(14)
A plane-wave DFT calculation with PBE was carried out for a relaxed structure of CeDy2Se5.

Values from the calculation:
Space-group type: I4/mcm
Energy relative to the elements, uncorrected, eV/f.u.: -13.41

Cell and atoms, written as POSCAR:
```
CeDy2Se5
1.0
-4.5022 -6.1378 -0.5433
3.3655 -3.0131 6.1508
-3.8622 7.4846 1.0456
Ce Dy Se
2 4 10
Cartesian
-2.7836 -3.1209 4.7284 Ce
-2.2153 1.4546 1.9247 Ce
0.4570 -1.9934 2.0324 Dy
-2.4282 -4.4946 0.6020 Dy
1.2915 -4.6563 5.0055 Dy
-1.5936 -7.1575 3.5751 Dy
-2.6676 0.0488 4.7317 Se
-1.4353 -5.7090 5.9710 Se
0.0000 0.0000 0.0000 Se
-0.5683 -4.5755 2.8037 Se
-3.5635 4.0427 0.6822 Se
-5.1883 0.4130 1.5552 Se
-1.0429 3.6784 3.8586 Se
0.1894 -2.0794 5.0979 Se
-3.9560 -5.3447 2.7945 Se
-2.3312 -1.7151 1.9214 Se
```

(15)
A plane-wave DFT calculation with PBE was carried out for a relaxed structure of Sm4Te2RhSe.

Values from the calculation:
Space-group type: P2/m
Energy relative to the elements, uncorrected, eV/f.u.: -10.61

Cell and atoms, written as POSCAR:
```
Sm4Te2RhSe
1.0
4.2118 0.0000 0.0000
0.0000 7.5095 0.1736
0.0000 -2.5849 7.1759
Sm Te Rh Se
4 2 1 1
Cartesian
2.1059 1.3111 1.6377 Sm
2.1059 3.6134 5.7118 Sm
0.0000 0.0463 5.7133 Sm
0.0000 4.8782 1.6362 Sm
2.1059 -1.2925 3.5879 Te
0.0000 2.4623 3.6747 Te
2.1059 3.7547 0.0868 Rh
0.0000 0.0000 0.0000 Se
```

(16)
A plane-wave DFT calculation with PBE was carried out for a relaxed structure of SrCa2Ni2.

Values from the calculation:
Formation energy from the elements, meV per atom: 170
Space-group type: P4/mbm

Cell and atoms, written as POSCAR:
```
SrCa2Ni2
1.0
-0.9146 -6.8877 -4.9265
7.3210 1.8473 -3.9418
1.6686 -1.8261 2.2432
Sr Ca Ni
2 4 4
Cartesian
0.0000 0.0000 0.0000 Sr
3.2032 -2.5202 -4.4342 Sr
6.0167 -0.9302 -5.2326 Ca
3.8347 -4.8092 -6.7673 Ca
0.3897 -4.1102 -3.6357 Ca
2.5717 -0.2312 -2.1011 Ca
5.5522 -0.8213 -2.3131 Ni
6.3386 -3.9513 -5.4460 Ni
2.5228 -6.0451 -4.3120 Ni
1.7363 -2.9151 -1.1791 Ni
```

(17)
A plane-wave DFT calculation with PBE was carried out for a relaxed structure of Zn2GePb.

Values from the calculation:
Formation energy from the elements, meV per atom: 262
Space-group type: Fm-3m

Cell and atoms, written as POSCAR:
```
Zn2GePb
1.0
0.0000 3.4844 3.4844
3.4844 0.0000 3.4844
3.4844 3.4844 0.0000
Pb Ge Zn
1 1 2
Cartesian
3.4844 3.4844 3.4844 Pb
0.0000 0.0000 0.0000 Ge
1.7422 1.7422 1.7422 Zn
5.2267 5.2267 5.2267 Zn
```

(18)
A plane-wave DFT calculation with PBE was carried out for a relaxed structure of FeTc2SnC.

Values from the calculation:
Formation energy from the elements, meV per atom: 86
Space-group type: P4/mmm

Cell and atoms, written as POSCAR:
```
FeTc2SnC
1.0
-3.5304 -0.7778 2.0746
-1.6789 -1.6074 -3.4597
1.3368 -3.4825 0.9692
Fe C Sn Tc
1 1 1 2
Cartesian
0.6684 -1.7412 0.4846 Fe
0.0000 0.0000 0.0000 C
-1.9362 -2.9339 -0.2080 Sn
-0.8395 -0.8037 -1.7299 Tc
-1.7652 -0.3889 1.0373 Tc
```

(19)
A plane-wave DFT calculation with PBE was carried out for a relaxed structure of Li2EuY.

Values from the calculation:
Formation energy from the elements, meV per atom: 148
Space-group type: Fm-3m

Cell and atoms, written as POSCAR:
```
Li2EuY
1.0
-4.8767 -0.8339 -2.2968
-1.0056 -4.6604 -2.6500
-3.4289 -3.6660 2.1345
Eu Y Li
1 1 2
Cartesian
0.0000 0.0000 0.0000 Eu
-4.6556 -4.5801 -1.4062 Y
-2.3278 -2.2901 -0.7031 Li
-6.9834 -6.8702 -2.1092 Li
```

(20)
A plane-wave DFT calculation with PBE was carried out for a relaxed structure of CoPb2Cl.

Values from the calculation:
Space-group type: P4mm
Energy relative to the elements, uncorrected, eV/f.u.: 0.75

Cell and atoms, written as POSCAR:
```
CoPb2Cl
1.0
-0.0317 -0.6824 3.1724
2.6361 -1.8555 -0.3728
5.2403 7.1263 1.5851
Pb Co Cl
2 1 1
Cartesian
4.9277 6.7011 1.4906 Pb
2.6475 0.5604 1.8067 Pb
5.0539 3.8329 2.5346 Co
3.0762 4.1833 0.9305 Cl
```

(21)
A plane-wave DFT calculation with PBE was carried out for a relaxed structure of ScTa2Be.

Values from the calculation:
Formation energy from the elements, meV per atom: 175
Space-group type: C2/m

Cell and atoms, written as POSCAR:
```
ScTa2Be
1.0
5.3678 0.0081 -0.0501
4.5655 2.8231 -0.0501
1.5540 0.4429 4.5726
Sc Be Ta
1 1 2
Cartesian
2.8718 0.8185 1.1181 Sc
8.6155 2.4556 3.3544 Be
1.7851 0.5088 4.4552 Ta
5.5126 1.5712 2.3537 Ta
```

(22)
A plane-wave DFT calculation with PBE was carried out for a relaxed structure of AcHo2Rh9.

Values from the calculation:
Formation energy from the elements, meV per atom: -550
Space-group type: R-3m

Cell and atoms, written as POSCAR:
```
AcHo2Rh9
1.0
0.1741 5.0860 -1.5618
-3.4070 3.5345 2.0582
4.6467 4.6504 6.5898
Ac Ho Rh
1 2 9
Cartesian
0.0000 0.0000 0.0000 Ac
-0.8231 9.3685 3.2009 Ho
2.2369 3.9023 3.8853 Ho
2.4880 10.3963 6.9170 Rh
-1.0743 2.8745 0.1693 Rh
0.7069 6.6354 3.5431 Rh
-0.1636 4.7555 1.8763 Rh
-0.0763 7.3075 1.0926 Rh
-1.8731 6.5290 2.9090 Rh
1.5774 8.5152 5.2099 Rh
3.2869 6.7418 4.1772 Rh
1.4901 5.9633 5.9936 Rh
```

(23)
A plane-wave DFT calculation with PBE was carried out for a relaxed structure of Mg2AlSi.

Values from the calculation:
Space-group type: Pm
Energy relative to the elements, uncorrected, eV/f.u.: 0.19

Cell and atoms, written as POSCAR:
```
Mg2AlSi
1.0
-2.8207 -3.2361 0.2124
2.0309 -1.6567 1.7296
-1.0979 1.3203 5.5360
Al Mg Si
1 2 1
Cartesian
-1.1055 -1.5452 5.2651 Al
0.8742 -0.3021 7.0064 Mg
-1.1326 -1.7211 2.2246 Mg
0.8757 -0.5087 3.8803 Si
```

(24)
A plane-wave DFT calculation with PBE was carried out for a relaxed structure of TlSiPt2.

Values from the calculation:
Space-group type: I-4m2
Energy relative to the elements, uncorrected, eV/f.u.: 0.32

Cell and atoms, written as POSCAR:
```
TlSiPt2
1.0
-1.9024 -1.9757 -4.4233
-4.6963 -2.1994 0.4426
2.0897 4.5537 1.4091
Pt Si Tl
2 1 1
Cartesian
0.0000 0.0000 0.0000 Pt
-2.9530 0.1334 -0.0694 Pt
-3.2994 -2.0876 -1.9904 Si
-1.5561 0.2452 -2.5023 Tl
```

(25)
A plane-wave DFT calculation with PBE was carried out for a relaxed structure of SrZn3Rh.

Values from the calculation:
Formation energy from the elements, meV per atom: -328
Space-group type: P4mm

Cell and atoms, written as POSCAR:
```
SrZn3Rh
1.0
4.4384 0.0000 0.0000
0.0000 4.4384 0.0000
0.0000 0.0000 5.2527
Sr Zn Rh
1 3 1
Cartesian
2.2192 2.2192 4.5216 Sr
0.0000 0.0000 3.2774 Zn
2.2192 0.0000 1.7688 Zn
0.0000 2.2192 1.7688 Zn
0.0000 0.0000 0.5542 Rh
```

(26)
A plane-wave DFT calculation with PBE was carried out for a relaxed structure of In4CoMo.

Values from the calculation:
Formation energy from the elements, meV per atom: 949
Space-group type: F-43m

Cell and atoms, written as POSCAR:
```
In4CoMo
1.0
-4.3612 2.4318 2.5983
-4.2466 2.1270 -3.0212
-5.0255 -2.5355 0.0351
In Co Mo
4 1 1
Cartesian
-7.2933 1.9749 1.1541 In
-7.6255 -0.5094 -0.1279 In
-7.2359 1.8224 -1.6564 In
-5.1121 0.7587 -0.1454 In
0.0000 0.0000 0.0000 Co
-10.2250 1.5175 -0.2909 Mo
```

DOS(E_F) per entry: 2.78, 3.59, 3.23, 7.00, 2.89, 2.53, 5.73, 4.26, 0.00, 7.35, 3.00, 7.06, 4.04, 3.95, 6.56, 4.45, 2.08, 4.37, 9.74, 5.36, 3.68, 14.74, 1.74, 1.07, 2.57, 5.63 states/eV/f.u.
Total energy per entry: -3.663, -5.553, -5.236, -4.114, -4.076, -6.111, -4.724, -3.737, -7.422, -6.006, -7.449, -2.347, -5.656, -5.746, -5.826, -3.280, -2.456, -8.398, -4.994, -3.904, -8.266, -7.169, -3.042, -4.887, -2.899, -3.866 eV/atom